[1]
Entry from Alexandria via LeMat-Bulk: CeSb2Pt9 after structural relaxation (PBE).

Results
Volume (Å³/cell): 210.0
Symmetry: P4/mmm
Theoretical density (g/cm3): 16.9
Total DFT energy (no corrections) (eV per formula unit): -73.6

extended XYZ file:
```
12
Lattice="4.145 0.000 0.000 0.000 4.145 0.000 0.000 0.000 12.218" Properties=species:S:1:pos:R:3 pbc="T T T"
Ce 0.000 0.000 0.000
Sb 0.000 0.000 4.115
Sb 0.000 0.000 8.102
Pt 0.000 2.073 2.066
Pt 0.000 2.073 6.109
Pt 0.000 2.073 10.151
Pt 2.073 0.000 2.066
Pt 2.073 0.000 6.109
Pt 2.073 0.000 10.151
Pt 2.073 2.073 0.000
Pt 2.073 2.073 4.111
Pt 2.073 2.073 8.107
```


[2]
Entry from Alexandria via LeMat-Bulk: CeSbPt6 after structural relaxation (PBE).

Results
Volume (Å³/cell): 171.7
Symmetry: C2/m
Theoretical density (g/cm3): 13.9
E above lowest polymorph (meV per atom): 293

extended XYZ file:
```
8
Lattice="3.974 -3.690 0.000 3.974 3.690 0.000 -0.632 0.000 5.855" Properties=species:S:1:pos:R:3 pbc="T T T"
Ce 0.000 0.000 0.000
Sb 3.658 0.000 2.928
Pt 2.221 1.402 1.220
Pt 0.989 0.000 3.351
Pt 2.221 -1.402 1.220
Pt 5.095 1.402 4.636
Pt 6.327 0.000 2.504
Pt 5.095 -1.402 4.636
```


[3]
Entry from Alexandria via LeMat-Bulk: Ce3Sb4Pt3 after structural relaxation (PBE).

Results
Volume (Å³/cell): 478.9
Symmetry: I-43d
Theoretical density (g/cm3): 10.4
Total DFT energy (no corrections) (eV per formula unit): -63.2

extended XYZ file:
```
20
Lattice="-4.929 4.929 4.929 4.929 -4.929 4.929 4.929 4.929 -4.929" Properties=species:S:1:pos:R:3 pbc="T T T"
Ce 7.393 1.232 0.000
Ce 3.696 0.000 2.464
Ce 2.464 3.696 0.000
Ce 0.000 2.464 3.696
Ce 1.232 0.000 7.393
Ce 0.000 7.393 1.232
Sb 4.089 0.840 -0.840
Sb 6.553 -1.624 1.624
Sb 0.840 0.840 0.840
Sb 0.840 -0.840 4.089
Sb -0.840 4.089 0.840
Sb 1.624 6.553 -1.624
Sb 3.304 3.304 3.304
Sb -1.624 1.624 6.553
Pt 4.929 -2.464 3.696
Pt 3.696 4.929 -2.464
Pt 4.929 2.464 1.232
Pt 2.464 1.232 4.929
Pt 1.232 4.929 2.464
Pt -2.464 3.696 4.929
```


[4]
Entry from Alexandria via LeMat-Bulk: CeSbPt2 after structural relaxation (PBE).

Results
Volume (Å³/cell): 343.9
Symmetry: Pnma
Theoretical density (g/cm3): 12.6
Total DFT energy (no corrections) (eV per formula unit): -25.6

extended XYZ file:
```
16
Lattice="8.999 0.000 0.000 0.000 6.967 0.000 0.000 0.000 5.485" Properties=species:S:1:pos:R:3 pbc="T T T"
Ce 0.740 1.742 0.950
Ce 3.759 5.225 3.692
Ce 5.240 1.742 1.792
Ce 8.259 5.225 4.535
Sb 0.947 5.225 1.759
Sb 3.552 1.742 4.501
Sb 5.447 5.225 0.984
Sb 8.052 1.742 3.726
Pt 1.508 0.243 3.545
Pt 1.508 3.240 3.545
Pt 2.991 3.726 0.803
Pt 2.991 6.724 0.803
Pt 6.008 0.243 4.682
Pt 6.008 3.240 4.682
Pt 7.491 3.726 1.940
Pt 7.491 6.724 1.940
```


[5]
Entry from Alexandria via LeMat-Bulk: Ce2SbPt9 after structural relaxation (PBE).

Results
Volume (Å³/cell): 213.8
Symmetry: P4/mmm
Theoretical density (g/cm3): 16.8
Total DFT energy (no corrections) (eV per formula unit): -78.7

extended XYZ file:
```
12
Lattice="4.150 0.000 0.000 0.000 4.150 0.000 0.000 0.000 12.411" Properties=species:S:1:pos:R:3 pbc="T T T"
Ce 0.000 0.000 2.087
Ce 0.000 0.000 10.324
Sb 0.000 0.000 6.206
Pt 0.000 2.075 0.000
Pt 0.000 2.075 4.168
Pt 0.000 2.075 8.244
Pt 2.075 0.000 0.000
Pt 2.075 0.000 4.168
Pt 2.075 0.000 8.244
Pt 2.075 2.075 2.111
Pt 2.075 2.075 6.206
Pt 2.075 2.075 10.300
```


[6]
Entry from Alexandria via LeMat-Bulk: Ce8SbPt2 after structural relaxation (PBE).

Results
Volume (Å³/cell): 296.3
Symmetry: C2/m
Theoretical density (g/cm3): 9.2
Total DFT energy (no corrections) (eV per formula unit): -69.3

extended XYZ file:
```
11
Lattice="4.194 -6.833 0.000 4.194 6.833 0.000 -1.336 0.000 5.171" Properties=species:S:1:pos:R:3 pbc="T T T"
Ce 0.750 1.422 2.937
Ce 4.194 3.488 0.000
Ce 0.750 -1.422 2.937
Ce 3.166 0.000 0.923
Ce 3.884 0.000 4.248
Ce 6.301 1.422 2.233
Ce 4.194 -3.488 0.000
Ce 6.301 -1.422 2.233
Sb 0.000 0.000 0.000
Pt 3.525 2.613 2.585
Pt 3.525 -2.613 2.585
```


Q: What is the formula in the sixth record?
A: Ce8SbPt2


Q: Among the records above, which one has the highest theoretical density?
A: CeSb2Pt9


Q: What is the theoretical density in the fifth record?
A: 16.8 g/cm3


Q: Which value of volume does entry 4 give?
A: 343.9 Å³/cell